No. 1
NiPbSe4 | PBE | relaxed

Unit cell a=8.1560 b=8.1560 c=8.1560 alpha=90.00 beta=90.00 gamma=90.00
Space group F-43m (No. 216)
Unique sites:
1 Ni 0.0000 0.0000 0.0000 (multiplicity 4)
2 Pb 0.2500 0.2500 0.7500 (multiplicity 4)
3 Se 0.1263 0.1263 0.3737 (multiplicity 16)

ΔE_f (raw) = 63 kJ/mol of atoms
uncorrected energy = -3.25 eV/atom



No. 2
LaCd4Ni | PBE | relaxed

Unit cell a=8.2057 b=8.2057 c=8.2057 alpha=90.00 beta=90.00 gamma=90.00
Space group F-43m (No. 216)
Unique sites:
1 La 0.0000 0.0000 0.0000 (multiplicity 4)
2 Cd 0.1242 0.1242 0.3758 (multiplicity 16)
3 Ni 0.2500 0.2500 0.7500 (multiplicity 4)

uncorrected energy = -2.36 eV/atom



No. 3
NiAs4Se | PBE | relaxed

Unit cell a=7.7624 b=7.7624 c=7.7624 alpha=90.00 beta=90.00 gamma=90.00
Space group F-43m (No. 216)
Unique sites:
1 Ni 0.0000 0.0000 0.0000 (multiplicity 4)
2 As 0.1259 0.1259 0.3741 (multiplicity 16)
3 Se 0.2500 0.2500 0.7500 (multiplicity 4)

ΔE_f (raw) = 69 kJ/mol of atoms
uncorrected energy = -3.93 eV/atom



No. 4
TiMnNi | PBE | relaxed

Unit cell a=3.0161 b=3.0161 c=8.7854 alpha=90.00 beta=90.00 gamma=90.00
Space group I4mm (No. 107)
Unique sites:
1 Ti 0.0000 0.0000 0.0000 (multiplicity 2)
2 Mn 0.0000 0.0000 0.6731 (multiplicity 2)
3 Ni 0.0000 0.0000 0.3361 (multiplicity 2)

uncorrected energy = -7.80 eV/atom



No. 5
Th2BeC | PBE | relaxed

Unit cell a=3.7616 b=3.7616 c=21.2408 alpha=90.00 beta=90.00 gamma=120.00
Space group R-3m (No. 166, hexagonal axes)
Unique sites:
1 Th 0.0000 0.0000 0.2369 (multiplicity 6)
2 Be 0.0000 0.0000 0.0000 (multiplicity 3)
3 C 0.0000 0.0000 0.5000 (multiplicity 3)

uncorrected energy = -6.86 eV/atom



No. 6
YMoOs2 | PBE | relaxed

Unit cell a=3.1912 b=4.5186 c=4.7300 alpha=90.00 beta=90.00 gamma=90.00
Space group Pmmm (No. 47)
Unique sites:
1 Y 0.0000 0.0000 0.0000 (multiplicity 1)
2 Mo 0.5000 0.0000 0.5000 (multiplicity 1)
3 Os 0.0000 0.5000 0.5000 (multiplicity 1)
4 Os 0.5000 0.5000 0.0000 (multiplicity 1)

uncorrected energy = -9.51 eV/atom



No. 7
Ti8Nb2Os | PBE | relaxed

Unit cell a=15.3560 b=4.5277 c=5.3514 alpha=90.00 beta=91.17 gamma=90.00
Space group C2/m (No. 12)
Unique sites:
1 Ti 0.0430 0.0000 0.2684 (multiplicity 4)
2 Ti 0.0819 0.5000 0.5850 (multiplicity 4)
3 Ti 0.1456 0.0000 0.8038 (multiplicity 4)
4 Ti 0.1676 0.5000 0.0977 (multiplicity 4)
5 Nb 0.2321 0.0000 0.3520 (multiplicity 4)
6 Os 0.0000 0.5000 0.0000 (multiplicity 2)

uncorrected energy = -8.72 eV/atom



No. 8
CaMgPd | PBE | relaxed

Unit cell a=6.7275 b=6.7275 c=6.7275 alpha=90.00 beta=90.00 gamma=90.00
Space group F-43m (No. 216)
Unique sites:
1 Ca 0.0000 0.0000 0.0000 (multiplicity 4)
2 Mg 0.0000 0.0000 0.5000 (multiplicity 4)
3 Pd 0.2500 0.2500 0.2500 (multiplicity 4)

uncorrected energy = -3.39 eV/atom